NaAlSn: relaxed, PBE.

Values from the calculation:
**Calculated formation energy**: -15.0 kJ/mol of formula units

Unit cell a=5.2247 b=3.3048 c=9.3338 alpha=71.67 beta=102.88 gamma=87.94
With the nearest neighbours (Å) after each atom.
Fractional coordinates of all 6 atoms:
Na 0.6042 0.9337 0.9742  5 Sn 3.19-3.30, 2 Na 3.30, 1 Al 3.40
Na 0.2153 0.1885 0.2387  5 Sn 3.19-3.30, 2 Na 3.30, 1 Al 3.40
Al 0.1912 0.2885 0.6116  2 Al 2.72-2.96, 3 Sn 2.77-3.03
Al 0.6281 0.8343 0.6014  2 Al 2.72-2.96, 3 Sn 2.78-3.03
Sn 0.7618 0.5837 0.3550  3 Al 2.77-3.03
Sn 0.0578 0.5391 0.8580  3 Al 2.78-3.03

LiAgSe2: relaxed, PBE.

Values from the calculation:
**VASP energy**: -3.157 eV per atom

Unit cell a=8.7941 b=8.7941 c=8.7941 alpha=21.82 beta=21.82 gamma=21.82
With the nearest neighbours (Å) after each atom.
Fractional coordinates of all 4 atoms:
Se 0.9032 0.9032 0.9032  1 Ag 2.49, 3 Li 2.63
Se 0.0968 0.0968 0.0968  1 Ag 2.49, 3 Li 2.63
Ag 0.0000 0.0000 0.0000  2 Se 2.49
Li 0.5000 0.5000 0.5000  6 Se 2.63

K2LiTc: relaxed, PBE.

Values from the calculation:
**Calculated formation energy**: 361.1 kJ/mol of formula units

Unit cell a=3.5587 b=3.5587 c=10.2041 alpha=90.00 beta=90.00 gamma=90.00
With the nearest neighbours (Å) after each atom.
Fractional coordinates of all 4 atoms:
K 0.0000 0.0000 0.9212  1 Li 3.50, 4 K 3.56, 4 Tc 3.56
K 0.5000 0.5000 0.3273  1 Tc 3.54, 4 K 3.56, 4 Li 3.59
Li 0.0000 0.0000 0.5777  4 Tc 2.70
Tc 0.5000 0.5000 0.6738  4 Li 2.70

LiTa2Ir: relaxed, PBE.

Values from the calculation:
**Calculated formation energy**: 2.5 kJ/mol of formula units

Unit cell a=2.8226 b=2.8226 c=8.5911 alpha=90.00 beta=90.00 gamma=101.71
With the nearest neighbours (Å) after each atom.
Fractional coordinates of all 4 atoms:
Ir 0.0000 0.0000 0.4998  4 Li 2.60-2.90, 2 Ta 2.65, 4 Ir 2.82
Li 0.5000 0.5000 0.7207  4 Ir 2.60-2.90, 4 Li 2.82
Ta 0.0000 0.0000 0.0083  8 Ta 2.82-3.15, 2 Li 3.05
Ta 0.5000 0.5000 0.2712  4 Ir 2.65-2.94, 6 Ta 2.82-2.88

AcCd2F6: relaxed, PBE.

Values from the calculation:
**VASP energy**: -4.701 eV per atom

Unit cell a=5.5533 b=5.9555 c=5.9555 alpha=120.00 beta=90.00 gamma=90.00
With the nearest neighbours (Å) after each atom.
Fractional coordinates of all 9 atoms:
Ac 0.0000 0.0000 0.0000  6 F 2.45
Cd 0.5000 0.6667 0.3333  6 F 2.39
Cd 0.5000 0.3333 0.6667  6 F 2.39
F 0.7388 0.6677 0.6677  2 Cd 2.39, 1 Ac 2.45
F 0.2612 0.6677 0.0000  2 Cd 2.39, 1 Ac 2.45
F 0.2612 0.0000 0.6677  2 Cd 2.39, 1 Ac 2.45
F 0.7388 0.3323 0.0000  2 Cd 2.39, 1 Ac 2.45
F 0.2612 0.3323 0.3323  2 Cd 2.39, 1 Ac 2.45
F 0.7388 0.0000 0.3323  2 Cd 2.39, 1 Ac 2.45

Ti3NiAg3Se8: relaxed, PBE.

Values from the calculation:
**VASP energy**: -4.976 eV per atom

Unit cell a=7.2748 b=7.2725 c=8.1725 alpha=116.47 beta=89.99 gamma=120.03
With the nearest neighbours (Å) after each atom.
Fractional coordinates of all 15 atoms:
Ti 0.5000 0.0000 0.5000  6 Se 2.58-2.60
Ti 0.5000 0.5000 0.5000  6 Se 2.58-2.60
Ti 0.0000 0.5000 0.5000  6 Se 2.58-2.60
Ni 0.0000 0.0000 0.5000  6 Se 2.50-2.51
Ag 0.0000 0.0000 0.0000  6 Se 2.89-2.90
Ag 0.0000 0.5000 0.0000  6 Se 2.89-2.90
Ag 0.5000 0.5000 0.0000  6 Se 2.89-2.90
Se 0.2617 0.5233 0.2856  3 Ti 2.58
Se 0.7383 0.4767 0.7144  3 Ti 2.58
Se 0.7688 0.5375 0.2889  1 Ni 2.51, 2 Ti 2.60
Se 0.2312 0.4625 0.7111  1 Ni 2.51, 2 Ti 2.60
Se 0.7692 0.0196 0.2893  1 Ni 2.50, 2 Ti 2.60
Se 0.2308 0.9804 0.7107  1 Ni 2.50, 2 Ti 2.60
Se 0.2504 0.0197 0.2894  1 Ni 2.50, 2 Ti 2.60
Se 0.7496 0.9803 0.7106  1 Ni 2.50, 2 Ti 2.60

SrCrHg3: relaxed, PBE.

Values from the calculation:
**Calculated formation energy**: 20.8 kJ/mol of formula units

Unit cell a=5.2756 b=5.2756 c=5.2756 alpha=90.00 beta=90.00 gamma=90.00
With the nearest neighbours (Å) after each atom.
Fractional coordinates of all 5 atoms:
Sr 0.5000 0.5000 0.5000  12 Hg 3.73
Hg 0.0000 0.5000 0.0000  2 Cr 2.64
Hg 0.0000 0.0000 0.5000  2 Cr 2.64
Hg 0.5000 0.0000 0.0000  2 Cr 2.64
Cr 0.0000 0.0000 0.0000  6 Hg 2.64

Au3C: relaxed, PBE.

Values from the calculation:
**Calculated formation energy**: 374.5 kJ/mol of formula units

Unit cell a=4.1135 b=5.2102 c=6.8271 alpha=90.00 beta=90.00 gamma=90.00
With the nearest neighbours (Å) after each atom.
Fractional coordinates of all 8 atoms:
Au 0.5000 0.3482 0.0000  2 C 2.06
Au 0.0000 0.6518 0.5000  2 C 2.06
Au 0.0000 0.1760 0.2939  1 C 2.15
Au 0.0000 0.1760 0.7061  1 C 2.15
Au 0.5000 0.8240 0.7939  1 C 2.15
Au 0.5000 0.8240 0.2061  1 C 2.15
C 0.0000 0.3256 0.0000  4 Au 2.06-2.15
C 0.5000 0.6744 0.5000  4 Au 2.06-2.15

So what do the calculations give for total moment? Going down the list: 0.0, 0.0, 2.6, 0.0, 0.0, 2.3, 3.8, 0.0 μB/cell.